Entry 1:
Below is an optimized crystal structure of ZrFeOs2, with properties calculated at the GGA-PBE level.

## Properties
For the uncorrected energy, the calculation gives -9.83 eV/atom. The density of states at the Fermi level comes out at 0.854 states/eV per atom. The value obtained for the energy of formation is 0.04 eV per atom. Its space-group type is Fm-3m.

abc: 4.4644 4.4644 4.4644
angles: 60.00 60.00 60.00
Closest atoms and distances in Å follow each position.
Element x y z (fractional)
1 Os 0.7500 0.7500 0.7500  4 Zr 2.73, 4 Fe 2.73
2 Os 0.2500 0.2500 0.2500  4 Zr 2.73, 4 Fe 2.73
3 Zr 0.5000 0.5000 0.5000  8 Os 2.73
4 Fe 0.0000 0.0000 0.0000  8 Os 2.73



Entry 2:
Below is an optimized crystal structure of YTiHgPb, with properties calculated at the GGA-PBE level.

## Properties
For the uncorrected energy, the calculation gives -4.74 eV/atom. The density of states at the Fermi level comes out at 1.208 states/eV per atom. The value obtained for the energy of formation is -0.14 eV per atom. Its space-group type is F-43m.

abc: 5.1282 5.1282 5.1282
angles: 60.00 60.00 60.00
Closest atoms and distances in Å follow each position.
Element x y z (fractional)
1 Pb 0.5000 0.5000 0.5000  4 Y 3.14, 4 Ti 3.14
2 Ti 0.2500 0.2500 0.2500  4 Pb 3.14, 4 Hg 3.14
3 Y 0.7500 0.7500 0.7500  4 Hg 3.14, 4 Pb 3.14
4 Hg 0.0000 0.0000 0.0000  4 Y 3.14, 4 Ti 3.14



Entry 3:
Below is an optimized crystal structure of CaSb2Ru, with properties calculated at the GGA-PBE level.

## Properties
The raw formation energy comes out at 0.128 eV/atom. For the uncorrected energy, the calculation gives -4.75 eV/atom. The density of states at the Fermi level comes out at 0.413 states/eV per atom. Its space-group type is F-43m.

abc: 5.0021 5.0021 5.0021
angles: 60.00 60.00 60.00
Closest atoms and distances in Å follow each position.
Element x y z (fractional)
1 Sb 0.2500 0.2500 0.2500  4 Ca 3.06, 4 Sb 3.06
2 Ca 0.5000 0.5000 0.5000  4 Ru 3.06, 4 Sb 3.06
3 Sb 0.0000 0.0000 0.0000  4 Sb 3.06, 4 Ru 3.06
4 Ru 0.7500 0.7500 0.7500  4 Sb 3.06, 4 Ca 3.06



Entry 4:
Below is an optimized crystal structure of Cs2InBr6F, with properties calculated at the GGA-PBE level.

## Properties
The raw formation energy comes out at -1.021 eV/atom. For the uncorrected energy, the calculation gives -2.66 eV/atom. The density of states at the Fermi level comes out at 0.809 states/eV per atom. Its space-group type is I4/mmm.

abc: 7.4736 7.4736 8.1599
angles: 62.75 62.75 90.00
Closest atoms and distances in Å follow each position.
Element x y z (fractional)
1 Cs 0.2500 0.7500 0.5000  12 Br 3.76-4.08
2 Cs 0.7500 0.2500 0.5000  12 Br 3.76-4.08
3 Br 0.2185 0.2185 0.5631  1 In 2.72
4 Br 0.2560 0.7440 0.0000  1 F 2.58, 1 In 2.71
5 Br 0.7440 0.7440 0.0000  1 F 2.58, 1 In 2.71
6 Br 0.2560 0.2560 0.0000  1 F 2.58, 1 In 2.71
7 F 0.5000 0.5000 0.0000  4 Br 2.58
8 Br 0.7815 0.7815 0.4369  1 In 2.72
9 In 0.0000 0.0000 0.0000  6 Br 2.71-2.72
10 Br 0.7440 0.2560 0.0000  1 F 2.58, 1 In 2.71



Entry 5:
Below is an optimized crystal structure of LiCd6Pt2, with properties calculated at the GGA-PBE level.

## Properties
For the uncorrected energy, the calculation gives -2.43 eV/atom. The density of states at the Fermi level comes out at 0.356 states/eV per atom. The value obtained for the energy of formation is -0.27 eV per atom. Its space-group type is C2/m.

abc: 4.7159 4.7101 8.7787
angles: 90.08 90.00 120.04
Closest atoms and distances in Å follow each position.
Element x y z (fractional)
1 Li 0.0000 0.0000 0.5000  8 Cd 2.71-2.85
2 Cd 0.3334 0.6668 0.0615  7 Cd 2.93-3.01, 1 Pt 2.93
3 Cd 0.0000 0.0000 0.8091  1 Li 2.71, 3 Pt 2.81, 3 Cd 2.95
4 Cd 0.6667 0.3335 0.5952  4 Pt 2.83-2.96, 3 Li 2.84-2.85, 1 Cd 3.01
5 Cd 0.0000 0.0000 0.1909  1 Li 2.71, 3 Pt 2.81, 3 Cd 2.95
6 Pt 0.6666 0.3332 0.2726  8 Cd 2.81-2.96
7 Pt 0.3334 0.6668 0.7274  8 Cd 2.81-2.96
8 Cd 0.6666 0.3332 0.9385  7 Cd 2.93-3.01, 1 Pt 2.93
9 Cd 0.3333 0.6665 0.4048  4 Pt 2.83-2.96, 3 Li 2.84-2.85, 1 Cd 3.01



Entry 6:
Below is an optimized crystal structure of TbHoNiRh, with properties calculated at the GGA-PBE level.

## Properties
For the uncorrected energy, the calculation gives -6.21 eV/atom. The density of states at the Fermi level comes out at 0.530 states/eV per atom. The value obtained for the energy of formation is -0.63 eV per atom. Its space-group type is F-43m.

abc: 4.8225 4.8225 4.8225
angles: 60.00 60.00 60.00
Closest atoms and distances in Å follow each position.
Element x y z (fractional)
1 Rh 0.7500 0.7500 0.7500  4 Tb 2.95, 4 Ho 2.95
2 Ho 0.5000 0.5000 0.5000  4 Rh 2.95, 4 Ni 2.95
3 Tb 0.0000 0.0000 0.0000  4 Ni 2.95, 4 Rh 2.95
4 Ni 0.2500 0.2500 0.2500  4 Tb 2.95, 4 Ho 2.95



Entry 7:
Below is an optimized crystal structure of AlTl2Cu, with properties calculated at the GGA-PBE level.

## Properties
For the uncorrected energy, the calculation gives -2.80 eV/atom. The density of states at the Fermi level comes out at 0.418 states/eV per atom. The value obtained for the energy of formation is 0.34 eV per atom. Its space-group type is Cmmm.

abc: 3.2537 3.2537 8.3618
angles: 90.00 90.00 89.69
Closest atoms and distances in Å follow each position.
Element x y z (fractional)
1 Al 0.5000 0.5000 0.2500  4 Al 3.25, 8 Tl 3.27-3.28
2 Cu 0.5000 0.5000 0.7500  8 Tl 2.94-2.95, 4 Cu 3.25
3 Tl 0.0000 0.0000 0.9707  4 Cu 2.94-2.95, 4 Tl 3.25, 4 Al 3.27-3.28
4 Tl 0.0000 0.0000 0.5293  4 Cu 2.94-2.95, 4 Tl 3.25, 4 Al 3.27-3.28



Entry 8:
Below is an optimized crystal structure of Li12In6Ir, with properties calculated at the GGA-PBE level.

## Properties
For the uncorrected energy, the calculation gives -2.79 eV/atom. The density of states at the Fermi level comes out at 0.300 states/eV per atom. The value obtained for the energy of formation is -0.25 eV per atom. Its space-group type is R-3.

abc: 7.1355 7.1355 7.1355
angles: 90.06 90.06 90.06
Closest atoms and distances in Å follow each position.
Element x y z (fractional)
1 In 0.2740 0.1201 0.7372  9 Li 2.81-3.15, 1 Ir 2.84, 2 In 2.99
2 Li 0.4760 0.5593 0.1967  4 In 2.81-2.97, 4 Li 2.92-2.97
3 Li 0.8575 0.6376 0.9578  1 Ir 2.79, 4 Li 2.86-2.97, 4 In 2.93-3.02
4 Ir 0.0000 0.0000 0.0000  6 Li 2.79, 6 In 2.84
5 In 0.2628 0.7260 0.8799  9 Li 2.81-3.15, 1 Ir 2.84, 2 In 2.99
6 Li 0.5240 0.4407 0.8033  4 In 2.81-2.97, 4 Li 2.92-2.97
7 Li 0.1425 0.3624 0.0422  1 Ir 2.79, 4 Li 2.86-2.97, 4 In 2.93-3.02
8 Li 0.8033 0.5240 0.4407  4 In 2.81-2.97, 4 Li 2.92-2.97
9 Li 0.1967 0.4760 0.5593  4 In 2.81-2.97, 4 Li 2.92-2.97
10 Li 0.3624 0.0422 0.1425  1 Ir 2.79, 4 Li 2.86-2.97, 4 In 2.93-3.02
11 Li 0.4407 0.8033 0.5240  4 In 2.81-2.97, 4 Li 2.92-2.97
12 In 0.8799 0.2628 0.7260  9 Li 2.81-3.15, 1 Ir 2.84, 2 In 2.99
13 In 0.7260 0.8799 0.2628  9 Li 2.81-3.15, 1 Ir 2.84, 2 In 2.99
14 Li 0.0422 0.1425 0.3624  1 Ir 2.79, 4 Li 2.86-2.97, 4 In 2.93-3.02
15 Li 0.6376 0.9578 0.8575  1 Ir 2.79, 4 Li 2.86-2.97, 4 In 2.93-3.02
16 Li 0.9578 0.8575 0.6376  1 Ir 2.79, 4 Li 2.86-2.97, 4 In 2.93-3.02
17 Li 0.5593 0.1967 0.4760  4 In 2.81-2.97, 4 Li 2.92-2.97
18 In 0.1201 0.7372 0.2740  9 Li 2.81-3.15, 1 Ir 2.84, 2 In 2.99
19 In 0.7372 0.2740 0.1201  9 Li 2.81-3.15, 1 Ir 2.84, 2 In 2.99